Entry 1:
# TlGeBiAu2, relaxed, DFT GGA-PBE
# * ΔE_f: -20 meV per atom
# * symmetry: No. 12
data_TlGeBiAu2
_cell_length_a 4.469
_cell_length_b 8.763
_cell_length_c 7.159
_cell_angle_alpha 86.48
_cell_angle_beta 71.81
_cell_angle_gamma 75.23
_space_group_name_H-M_alt 'P 1'
_space_group_IT_number 1
loop_
_space_group_symop_operation_xyz
'x,y,z'
loop_
_atom_site_label
_atom_site_type_symbol
_atom_site_fract_x
_atom_site_fract_y
_atom_site_fract_z
Tl1 Tl 0.852 0.686 0.609
Tl2 Tl 0.148 0.314 0.391
Ge1 Ge 0.092 0.024 0.792
Ge2 Ge 0.908 0.976 0.208
Bi1 Bi 0.382 0.391 0.844
Bi2 Bi 0.618 0.609 0.156
Au1 Au 0.344 0.929 0.383
Au2 Au 0.656 0.071 0.617
Au3 Au 0.840 0.258 0.062
Au4 Au 0.160 0.742 0.938

Entry 2:
# NdY7Sc2, relaxed, DFT GGA-PBE
# * ΔE_f: 44 meV per atom
# * symmetry: No. 2
data_NdY7Sc2
_cell_length_a 6.100
_cell_length_b 10.555
_cell_length_c 7.866
_cell_angle_alpha 107.29
_cell_angle_beta 104.99
_cell_angle_gamma 39.72
_space_group_name_H-M_alt 'P 1'
_space_group_IT_number 1
loop_
_space_group_symop_operation_xyz
'x,y,z'
loop_
_atom_site_label
_atom_site_type_symbol
_atom_site_fract_x
_atom_site_fract_y
_atom_site_fract_z
Nd1 Nd 0.000 0.000 0.000
Y1 Y 0.100 0.701 0.598
Y2 Y 0.900 0.299 0.402
Y3 Y 0.805 0.598 0.793
Y4 Y 0.195 0.402 0.207
Y5 Y 0.700 0.902 0.205
Y6 Y 0.300 0.098 0.795
Y7 Y 0.500 0.500 0.000
Sc1 Sc 0.392 0.803 0.400
Sc2 Sc 0.608 0.197 0.600

Entry 3:
# Li2TiB2O6, relaxed, DFT GGA-PBE
# * symmetry: No. 14
data_Li2TiB2O6
_cell_length_a 8.961
_cell_length_b 5.113
_cell_length_c 11.615
_cell_angle_alpha 63.80
_cell_angle_beta 90.00
_cell_angle_gamma 90.00
_space_group_name_H-M_alt 'P 1'
_space_group_IT_number 1
loop_
_space_group_symop_operation_xyz
'x,y,z'
loop_
_atom_site_label
_atom_site_type_symbol
_atom_site_fract_x
_atom_site_fract_y
_atom_site_fract_z
Li1 Li 0.677 0.437 0.386
Li2 Li 0.986 0.928 0.903
Li3 Li 0.177 0.563 0.114
Li4 Li 0.486 0.072 0.597
Li5 Li 0.514 0.928 0.403
Li6 Li 0.823 0.437 0.886
Li7 Li 0.014 0.072 0.097
Li8 Li 0.323 0.563 0.614
Ti1 Ti 0.323 0.001 0.858
Ti2 Ti 0.823 0.999 0.642
Ti3 Ti 0.177 0.001 0.358
Ti4 Ti 0.677 0.999 0.142
B1 B 0.343 0.460 0.372
B2 B 0.663 0.966 0.880
B3 B 0.843 0.540 0.128
B4 B 0.163 0.034 0.620
B5 B 0.837 0.966 0.380
B6 B 0.157 0.460 0.872
B7 B 0.337 0.034 0.120
B8 B 0.657 0.540 0.628
O1 O 0.320 0.907 0.038
O2 O 0.677 0.296 0.603
O3 O 0.969 0.698 0.096
O4 O 0.287 0.115 0.667
O5 O 0.021 0.071 0.660
O6 O 0.721 0.608 0.187
O7 O 0.221 0.392 0.313
O8 O 0.521 0.929 0.840
O9 O 0.787 0.885 0.833
O10 O 0.469 0.302 0.404
O11 O 0.820 0.093 0.462
O12 O 0.177 0.704 0.897
O13 O 0.823 0.296 0.103
O14 O 0.180 0.907 0.538
O15 O 0.531 0.698 0.596
O16 O 0.213 0.115 0.167
O17 O 0.479 0.071 0.160
O18 O 0.779 0.608 0.687
O19 O 0.279 0.392 0.813
O20 O 0.979 0.929 0.340
O21 O 0.713 0.885 0.333
O22 O 0.031 0.302 0.904
O23 O 0.323 0.704 0.397
O24 O 0.680 0.093 0.962

| no. | density (g/cm³) | spin magnetization (μB per atom) | electronic total energy (Ha/atom) |
| --- | --- | --- | --- |
| 1 | 11.35 | 0.000 | -0.1288 |
| 2 | 4.61 | 0.000 | -0.2287 |
| 3 | 2.50 | 0.000 | -0.2757 |